# RbCaLa3

Crystalline RbCaLa3 at its relaxed geometry (PBE, the Alexandria database).

abc: 6.2339 6.2339 6.2339
angles: 90.00 90.00 90.00
Closest atoms and distances in Å follow each position.
Fractional coordinates of all 5 atoms:
Rb (0.0000, 0.0000, 0.0000)  12 La 4.41
Ca (0.5000, 0.5000, 0.5000)  6 La 3.12
La (0.0000, 0.5000, 0.5000)  2 Ca 3.12
La (0.5000, 0.0000, 0.5000)  2 Ca 3.12
La (0.5000, 0.5000, 0.0000)  2 Ca 3.12

## Properties
Its space group is Pm-3m. Its density is 3.7 g/cm3. Its formation energy from the elements is 365 kJ/mol of formula units. As for the energy above the most stable polymorph in this dataset: 0.000 eV per atom. As for the density of states at the Fermi level: 6.159 states/eV per cell.



# Er6SbC

Crystalline Er6SbC at its relaxed geometry (PBE, the Alexandria database).

abc: 6.5087 6.5360 7.1548
angles: 63.07 63.42 60.23
Closest atoms and distances in Å follow each position.
Fractional coordinates of all 8 atoms:
Er (0.0360, 0.3994, 0.2696)  1 C 2.44
Er (0.2046, 0.9664, 0.7317)  1 C 2.43
Er (0.3985, 0.7958, 0.2702)  1 C 2.44
Er (0.6015, 0.2042, 0.7298)  1 C 2.44
Er (0.7954, 0.0336, 0.2683)  1 C 2.43
Er (0.9640, 0.6006, 0.7304)  1 C 2.44
Sb (0.5000, 0.5000, 0.0000)  6 Er 2.98
C (0.0000, 0.0000, 0.5000)  6 Er 2.43-2.44

## Properties
Its space group is P-1. Its density is 8.4 g/cm3. As for the formation energy from raw total energies: -0.198 eV/atom. As for the density of states at the Fermi level: 10.150 states/eV per cell.



# SrCaV3

Crystalline SrCaV3 at its relaxed geometry (PBE, the Alexandria database).

abc: 5.0682 5.0682 5.0682
angles: 90.00 90.00 90.00
Closest atoms and distances in Å follow each position.
Fractional coordinates of all 5 atoms:
Sr (0.0000, 0.0000, 0.0000)  12 V 3.58
Ca (0.5000, 0.5000, 0.5000)  6 V 2.53
V (0.0000, 0.5000, 0.5000)  2 Ca 2.53
V (0.5000, 0.0000, 0.5000)  2 Ca 2.53
V (0.5000, 0.5000, 0.0000)  2 Ca 2.53

## Properties
Its space group is Pm-3m. Its density is 3.6 g/cm3. Its formation energy from the elements is 878 kJ/mol of formula units. As for the energy above the most stable polymorph in this dataset: 0.000 eV per atom. As for the density of states at the Fermi level: 12.536 states/eV per cell.



# Re3NiOs

Crystalline Re3NiOs at its relaxed geometry (PBE, the Alexandria database).

abc: 4.6777 4.6777 4.6777
angles: 90.00 90.00 90.00
Closest atoms and distances in Å follow each position.
Fractional coordinates of all 5 atoms:
Re (0.0000, 0.0000, 0.5000)  2 Os 2.34
Re (0.0000, 0.5000, 0.0000)  2 Os 2.34
Re (0.5000, 0.0000, 0.0000)  2 Os 2.34
Ni (0.5000, 0.5000, 0.5000)  12 Re 3.31
Os (0.0000, 0.0000, 0.0000)  6 Re 2.34

## Properties
Its space group is Pm-3m. Its density is 13.1 g/cm3. Its formation energy from the elements is 1176 kJ/mol of formula units. As for the energy above the most stable polymorph in this dataset: 0.602 eV per atom. As for the density of states at the Fermi level: 8.710 states/eV per cell.



Q: What is the formula in the fourth record?
A: Re3NiOs